1.
CaIrI2: single point on PBEsol structure, meta-GGA SCAN.

Properties
The calculated density is 8.41 Mg/m³. The formation energy from raw total energies comes out at 0.27 eV/atom. The total energy comes out at -38.29 eV/atom.

Structure (extended XYZ):
```
4
Lattice="5.139 0.000 0.000 2.570 4.451 0.000 2.570 1.484 4.196" Properties=species:S:1:pos:R:3 pbc="T T T"
I 7.709 4.451 3.147
I 2.570 1.484 1.049
Ca 0.000 0.000 0.000
Ir 5.139 2.967 2.098
```

***

2.
CaSbIrI2: single point on PBEsol structure, meta-GGA SCAN.

Properties
The calculated density is 6.59 Mg/m³. The formation energy from raw total energies comes out at -0.11 eV/atom. The total energy comes out at -38.42 eV/atom.

Structure (extended XYZ):
```
5
Lattice="5.032 0.000 0.000 0.000 5.518 0.000 0.000 0.000 5.518" Properties=species:S:1:pos:R:3 pbc="T T T"
I 0.000 0.000 2.759
I 0.000 2.759 0.000
Ca 2.516 2.759 2.759
Sb 2.516 0.000 0.000
Ir 0.000 0.000 0.000
```

***

3.
KCa3I: single point on PBEsol structure, meta-GGA SCAN.

Properties
The calculated density is 2.02 Mg/m³. The formation energy from raw total energies comes out at -0.06 eV/atom. The total energy comes out at -14.87 eV/atom.

Structure (extended XYZ):
```
5
Lattice="6.173 0.000 0.000 0.000 6.173 0.000 0.000 0.000 6.173" Properties=species:S:1:pos:R:3 pbc="T T T"
Ca 0.000 0.000 3.087
Ca 3.087 0.000 0.000
Ca 0.000 3.087 0.000
K 3.087 3.087 3.087
I 0.000 0.000 0.000
```

***

4.
KCaI3: single point on PBEsol structure, meta-GGA SCAN.

Properties
The calculated density is 3.37 Mg/m³. The formation energy from raw total energies comes out at -0.91 eV/atom. The total energy comes out at -26.55 eV/atom.

Structure (extended XYZ):
```
5
Lattice="6.099 0.000 0.000 0.000 6.099 0.000 0.000 0.000 6.099" Properties=species:S:1:pos:R:3 pbc="T T T"
I 0.000 0.000 3.050
I 3.050 0.000 0.000
I 0.000 3.050 0.000
K 0.000 0.000 0.000
Ca 3.050 3.050 3.050
```

***

- The lowest formation energy from raw total energies belongs to which entry?
  KCaI3

***

- formation energy from raw total energies of number 2 (CaSbIrI2)?
  -0.11 eV/atom

***

- Among the records above, which one has the highest formation energy from raw total energies?
  CaIrI2

***

- What is the calculated density in the third record?
  2.02 Mg/m³